1.
Compound: LaGd2Er
Source: the Alexandria database
Functional: PBE
Structure: relaxed

Results
Formation energy from the elements: 38.9 kJ/mol of formula units
D(E_F): 7.267 states/eV per cell
ΔE to the lowest computed polymorph: 74 meV per atom
E: -9.312 eV per atom

Lattice parameters (Å, degrees): 5.738 5.738 5.738 60.00 60.00 60.00
Element x y z (fractional)
La: 0.000 0.000 0.000
Gd: 0.250 0.250 0.250
Gd: 0.750 0.750 0.750
Er: 0.500 0.500 0.500

***

2.
Compound: LaGd2Er
Source: the Alexandria database
Functional: PBE
Structure: relaxed

Results
Formation energy from the elements: 10.2 kJ/mol of formula units
D(E_F): 6.841 states/eV per cell
ΔE to the lowest computed polymorph: 0 meV per atom
E: -9.387 eV per atom

Lattice parameters (Å, degrees): 5.089 5.089 5.117 90.00 90.00 90.00
Element x y z (fractional)
La: 0.000 0.000 0.000
Gd: 0.000 0.500 0.500
Gd: 0.500 0.000 0.500
Er: 0.500 0.500 0.000

***

3.
Compound: La2GdEr
Source: the Alexandria database
Functional: PBE
Structure: relaxed

Results
Formation energy from the elements: 32.7 kJ/mol of formula units
D(E_F): 7.279 states/eV per cell
ΔE to the lowest computed polymorph: 71 meV per atom
E: -7.040 eV per atom

Lattice parameters (Å, degrees): 5.809 5.809 5.809 60.00 60.00 60.00
Element x y z (fractional)
La: 0.250 0.250 0.250
La: 0.750 0.750 0.750
Gd: 0.000 0.000 0.000
Er: 0.500 0.500 0.500

***

4.
Compound: LaGd2Er
Source: the Alexandria database
Functional: PBE
Structure: relaxed

Results
Formation energy from the elements: 12.6 kJ/mol of formula units
D(E_F): 7.614 states/eV per cell
ΔE to the lowest computed polymorph: 6 meV per atom
E: -9.380 eV per atom

Lattice parameters (Å, degrees): 3.613 3.613 10.165 90.00 90.00 90.00
Element x y z (fractional)
La: 0.000 0.000 0.000
Gd: 0.500 0.500 0.259
Gd: 0.500 0.500 0.741
Er: 0.000 0.000 0.500

***

5.
Compound: LaGdErLu
Source: the Alexandria database
Functional: PBE
Structure: relaxed

Results
Formation energy from the elements: 31.5 kJ/mol of formula units
D(E_F): 6.433 states/eV per cell
E: -6.942 eV per atom

Lattice parameters (Å, degrees): 5.700 5.700 5.700 60.00 60.00 60.00
Element x y z (fractional)
La: 0.000 0.000 0.000
Gd: 0.500 0.500 0.500
Er: 0.250 0.250 0.250
Lu: 0.750 0.750 0.750

***

6.
Compound: LaGdErMg
Source: the Alexandria database
Functional: PBE
Structure: relaxed

Results
Formation energy from the elements: 4.5 kJ/mol of formula units
D(E_F): 5.140 states/eV per cell
E: -6.280 eV per atom

Lattice parameters (Å, degrees): 5.593 5.593 5.593 60.00 60.00 60.00
Element x y z (fractional)
La: 0.000 0.000 0.000
Gd: 0.500 0.500 0.500
Er: 0.750 0.750 0.750
Mg: 0.250 0.250 0.250

***

7.
Compound: LaPmGdEr
Source: the Alexandria database
Functional: PBE
Structure: relaxed

Results
Formation energy from the elements: 38.9 kJ/mol of formula units
D(E_F): 7.869 states/eV per cell
E: -6.980 eV per atom

Lattice parameters (Å, degrees): 5.768 5.768 5.768 60.00 60.00 60.00
Element x y z (fractional)
La: 0.000 0.000 0.000
Pm: 0.500 0.500 0.500
Gd: 0.250 0.250 0.250
Er: 0.750 0.750 0.750

***

8.
Compound: LaPrGdEr
Source: the Alexandria database
Functional: PBE
Structure: relaxed

Results
Formation energy from the elements: 35.7 kJ/mol of formula units
D(E_F): 7.560 states/eV per cell
E: -6.995 eV per atom

Lattice parameters (Å, degrees): 5.792 5.792 5.792 60.00 60.00 60.00
Element x y z (fractional)
La: 0.000 0.000 0.000
Pr: 0.500 0.500 0.500
Gd: 0.250 0.250 0.250
Er: 0.750 0.750 0.750